No. 1
Na4Ag2Sn | GGA-PBE | relaxed

abc: 5.8199 5.8199 14.7172
angles: 90.00 90.00 90.00
Closest atoms and distances in Å follow each position.
Positions (direct):
Na1 0.0000 0.0000 0.2060  1 Ag 2.95, 1 Sn 3.03
Na2 0.0000 0.0000 0.7940  1 Ag 2.95, 1 Sn 3.03
Na3 0.0000 0.5000 0.0000  2 Sn 2.91, 4 Ag 3.22
Na4 0.0000 0.5000 0.5000  2 Sn 2.91, 4 Ag 3.22
Na5 0.5000 0.0000 0.0000  2 Sn 2.91, 4 Ag 3.22
Na6 0.5000 0.0000 0.5000  2 Sn 2.91, 4 Ag 3.22
Na7 0.5000 0.5000 0.2940  1 Ag 2.95, 1 Sn 3.03
Na8 0.5000 0.5000 0.7060  1 Ag 2.95, 1 Sn 3.03
Ag1 0.0000 0.0000 0.4062  1 Ag 2.76, 1 Na 2.95
Ag2 0.0000 0.0000 0.5938  1 Ag 2.76, 1 Na 2.95
Ag3 0.5000 0.5000 0.0938  1 Ag 2.76, 1 Na 2.95
Ag4 0.5000 0.5000 0.9062  1 Ag 2.76, 1 Na 2.95
Sn1 0.0000 0.0000 0.0000  6 Na 2.91-3.03
Sn2 0.5000 0.5000 0.5000  6 Na 2.91-3.03

Summary:
For the energy relative to the elements, the calculation gives 0.24 eV per atom. As for the crystal system: tetragonal.

No. 2
BeCrTc2 | GGA-PBE | relaxed

abc: 3.1283 3.9168 4.1623
angles: 90.00 90.00 90.00
Closest atoms and distances in Å follow each position.
Positions (direct):
Be1 0.0000 0.0000 0.0000  4 Tc 2.51, 4 Cr 2.60
Cr1 0.5000 0.0000 0.5000  4 Tc 2.51, 4 Be 2.60
Tc1 0.0000 0.5000 0.5000  4 Cr 2.51, 4 Tc 2.60
Tc2 0.5000 0.5000 0.0000  4 Be 2.51, 4 Tc 2.60

Summary:
For the energy relative to the elements, the calculation gives 0.12 eV per atom. As for the crystal system: orthorhombic.

No. 3
Th2PaP3Ir12 | GGA-PBE | relaxed

abc: 7.5770 7.5770 7.5770
angles: 65.30 65.30 65.30
Closest atoms and distances in Å follow each position.
Positions (direct):
Th1 0.1011 0.1011 0.1011  6 Ir 2.83-2.92
Th2 0.8989 0.8989 0.8989  6 Ir 2.83-2.92
Pa1 0.5000 0.5000 0.5000  6 Ir 2.61
P1 0.0000 0.5000 0.5000  6 Ir 2.30-2.34
P2 0.5000 0.0000 0.5000  6 Ir 2.30-2.34
P3 0.5000 0.5000 0.0000  6 Ir 2.30-2.34
Ir1 0.1070 0.6432 0.6432  1 P 2.34, 1 Pa 2.61
Ir2 0.1558 0.1558 0.5950  2 P 2.30
Ir3 0.1558 0.5950 0.1558  2 P 2.30
Ir4 0.3568 0.3568 0.8930  1 P 2.34, 1 Pa 2.61
Ir5 0.3568 0.8930 0.3568  1 P 2.34, 1 Pa 2.61
Ir6 0.4050 0.8442 0.8442  2 P 2.30
Ir7 0.5950 0.1558 0.1558  2 P 2.30
Ir8 0.6432 0.1070 0.6432  1 P 2.34, 1 Pa 2.61
Ir9 0.6432 0.6432 0.1070  1 P 2.34, 1 Pa 2.61
Ir10 0.8442 0.4049 0.8442  2 P 2.30
Ir11 0.8442 0.8442 0.4050  2 P 2.30
Ir12 0.8930 0.3568 0.3568  1 P 2.34, 1 Pa 2.61

Summary:
For the energy relative to the elements, the calculation gives -0.20 eV per atom. As for the crystal system: trigonal.

No. 4
Nd5Er4Hg4 | GGA-PBE | relaxed

abc: 9.0470 9.0470 9.0470
angles: 94.66 94.66 146.89
Closest atoms and distances in Å follow each position.
Positions (direct):
Nd1 0.0000 0.0000 0.0000  4 Hg 3.19
Nd2 0.3137 0.6200 0.9337  3 Hg 3.21-3.22
Nd3 0.3800 0.3137 0.6936  3 Hg 3.21-3.22
Nd4 0.6200 0.6863 0.3064  3 Hg 3.21-3.22
Nd5 0.6863 0.3800 0.0663  3 Hg 3.21-3.22
Er1 0.0970 0.3988 0.4958  3 Hg 2.98-3.24
Er2 0.3988 0.9030 0.3018  3 Hg 2.98-3.24
Er3 0.6012 0.0970 0.6982  3 Hg 2.98-3.24
Er4 0.9030 0.6012 0.5042  3 Hg 2.98-3.24
Hg1 0.0903 0.7561 0.8464  3 Er 2.98-3.24, 4 Nd 3.19-3.22
Hg2 0.2439 0.0903 0.3342  3 Er 2.98-3.24, 4 Nd 3.19-3.22
Hg3 0.7561 0.9097 0.6658  3 Er 2.98-3.24, 4 Nd 3.19-3.22
Hg4 0.9097 0.2439 0.1536  3 Er 2.98-3.24, 4 Nd 3.19-3.22

Summary:
For the energy relative to the elements, the calculation gives -0.31 eV per atom. As for the crystal system: tetragonal.

No. 5
TlOsRh2O8 | GGA-PBE | relaxed

abc: 4.6572 6.5555 4.6642
angles: 90.00 90.20 90.00
Closest atoms and distances in Å follow each position.
Positions (direct):
Tl1 0.0000 0.0000 0.0000  6 O 2.15-2.28
Os1 0.0000 0.5000 0.0000  6 O 1.93-1.96
Rh1 0.5000 0.2566 0.5000  6 O 1.99-2.08
Rh2 0.5000 0.7434 0.5000  6 O 1.99-2.08
O1 0.1998 0.2843 0.1974  1 Os 1.93, 1 Rh 1.99
O2 0.1998 0.7157 0.1974  1 Os 1.93, 1 Rh 1.99
O3 0.2960 0.5000 0.7015  1 Os 1.96, 2 Rh 2.08
O4 0.3220 0.0000 0.6721  2 Rh 2.04, 1 Tl 2.15
O5 0.6780 0.0000 0.3279  2 Rh 2.04, 1 Tl 2.15
O6 0.7040 0.5000 0.2985  1 Os 1.96, 2 Rh 2.08
O7 0.8002 0.2843 0.8026  1 Os 1.93, 1 Rh 1.99
O8 0.8002 0.7157 0.8026  1 Os 1.93, 1 Rh 1.99

Summary:
As for the crystal system: monoclinic. The value obtained for the uncorrected formation energy is -0.7494 eV/atom.

No. 6
NbAg | GGA-PBE | relaxed

abc: 9.6113 9.6113 3.4743
angles: 90.00 90.00 90.00
Closest atoms and distances in Å follow each position.
Positions (direct):
Nb1 0.0000 0.3450 0.0000  5 Nb 2.73-2.98, 4 Ag 2.92
Nb2 0.0000 0.6550 0.0000  5 Nb 2.73-2.98, 4 Ag 2.92
Nb3 0.1550 0.5000 0.5000  5 Nb 2.73-2.98, 4 Ag 2.92
Nb4 0.3450 0.0000 0.0000  5 Nb 2.73-2.98, 4 Ag 2.92
Nb5 0.5000 0.1550 0.5000  5 Nb 2.73-2.98, 4 Ag 2.92
Nb6 0.5000 0.8450 0.5000  5 Nb 2.73-2.98, 4 Ag 2.92
Nb7 0.6550 0.0000 0.0000  5 Nb 2.73-2.98, 4 Ag 2.92
Nb8 0.8450 0.5000 0.5000  5 Nb 2.73-2.98, 4 Ag 2.92
Ag1 0.1584 0.1584 0.5000  4 Nb 2.92, 4 Ag 3.04-3.05
Ag2 0.1584 0.8416 0.5000  4 Nb 2.92, 4 Ag 3.04-3.05
Ag3 0.3416 0.3416 0.0000  4 Nb 2.92, 4 Ag 3.04-3.05
Ag4 0.3416 0.6584 0.0000  4 Nb 2.92, 4 Ag 3.04-3.05
Ag5 0.6584 0.3416 0.0000  4 Nb 2.92, 4 Ag 3.04-3.05
Ag6 0.6584 0.6584 0.0000  4 Nb 2.92, 4 Ag 3.04-3.05
Ag7 0.8416 0.1584 0.5000  4 Nb 2.92, 4 Ag 3.04-3.05
Ag8 0.8416 0.8416 0.5000  4 Nb 2.92, 4 Ag 3.04-3.05

Summary:
For the energy relative to the elements, the calculation gives 0.36 eV per atom. As for the crystal system: tetragonal.

Number 1: D(E_F) 0.5091 states/eV/atom. Number 2: D(E_F) 0.9278 states/eV/atom. Number 3: D(E_F) 0.5618 states/eV/atom. Number 4: D(E_F) 0.7892 states/eV/atom. Number 5: D(E_F) 0.4534 states/eV/atom. Number 6: D(E_F) 0.7043 states/eV/atom.